Computed, not measured: Nd3Dy4In4 after structural relaxation at the PBE level of DFT.

Output
Uncorrected energy (Ry per atom): -0.3125
D(E_F) (states/eV per atom): 1.026
Energy of formation from the pure elements (kJ per mole of atoms): -27.2

Cell lengths 5.3170, 7.0914, 17.6949 Å; angles 90.00, 90.00, 90.00 degrees
Space group Immm (No. 71)
Symmetry-distinct sites (fractional):
1 Nd 0.0000 0.0000 0.0000 x2
2 Nd 0.0000 0.5000 0.1038 x4
3 Dy 0.0000 0.2664 0.3214 x8
4 In 0.0000 0.0000 0.1785 x4
5 In 0.0000 0.2123 0.5000 x4

***

Computed, not measured: NdDy3In3 after structural relaxation at the PBE level of DFT.

Output
Uncorrected energy (Ry per atom): -0.3047
D(E_F) (states/eV per atom): 1.150
Energy of formation from the pure elements (kJ per mole of atoms): -30.8

Cell lengths 9.3854, 9.3854, 9.3854 Å; angles 90.00, 90.00, 90.00 degrees
Space group P2_13 (No. 198)
Symmetry-distinct sites (fractional):
1 Nd 0.0655 0.4345 0.5655 x4
2 Dy 0.0911 0.5911 0.9089 x4
3 Dy 0.1755 0.1755 0.1755 x4
4 Dy 0.1821 0.8179 0.3179 x4
5 In 0.0005 0.2681 0.8861 x12

***

Computed, not measured: NdDyIn2 after structural relaxation at the PBE level of DFT.

Output
Uncorrected energy (Ry per atom): -0.3077
D(E_F) (states/eV per atom): 0.525
Energy of formation from the pure elements (kJ per mole of atoms): -45.7

Cell lengths 7.0419, 8.7838, 3.5791 Å; angles 90.00, 90.00, 90.00 degrees
Space group Cmmm (No. 65)
Symmetry-distinct sites (fractional):
1 Nd 0.0000 0.0000 0.0000 x2
2 Dy 0.0000 0.5000 0.0000 x2
3 In 0.2500 0.2500 0.5000 x4

***

Computed, not measured: Nd2Dy5In after structural relaxation at the PBE level of DFT.

Output
Uncorrected energy (Ry per atom): -0.3318
D(E_F) (states/eV per atom): 1.286
Energy of formation from the pure elements (kJ per mole of atoms): -10.0

Cell lengths 4.9240, 4.9240, 20.4003 Å; angles 90.00, 90.00, 90.00 degrees
Space group I4/mmm (No. 139)
Symmetry-distinct sites (fractional):
1 Nd 0.0000 0.0000 0.2446 x4
2 Dy 0.0000 0.0000 0.0000 x2
3 Dy 0.0000 0.5000 0.1189 x8
4 In 0.0000 0.0000 0.5000 x2

***

Computed, not measured: Nd3Dy6In after structural relaxation at the PBE level of DFT.

Output
Uncorrected energy (Ry per atom): -0.3326
D(E_F) (states/eV per atom): 1.524
Energy of formation from the pure elements (kJ per mole of atoms): -5.8

Cell lengths 9.7451, 5.6227, 12.4694 Å; angles 90.00, 110.62, 90.00 degrees
Space group P2_1/m (No. 11)
Symmetry-distinct sites (fractional):
1 Nd 0.0243 0.2500 0.3768 x2
2 Nd 0.1022 0.7500 0.2228 x2
3 Nd 0.2711 0.2500 0.9754 x2
4 Dy 0.0388 0.7500 0.9290 x2
5 Dy 0.2009 0.2500 0.6726 x2
6 Dy 0.2687 0.7500 0.5148 x2
7 Dy 0.3488 0.2500 0.3020 x2
8 Dy 0.3505 0.7500 0.8270 x2
9 Dy 0.4262 0.7500 0.1382 x2
10 In 0.4692 0.2500 0.5860 x2

***

Computed, not measured: Nd2Dy3In7 after structural relaxation at the PBE level of DFT.

Output
Uncorrected energy (Ry per atom): -0.2761
D(E_F) (states/eV per atom): 0.716
Energy of formation from the pure elements (kJ per mole of atoms): -20.7

Cell lengths 5.1989, 25.6664, 5.3544 Å; angles 90.00, 90.00, 90.00 degrees
Space group Cmmm (No. 65)
Symmetry-distinct sites (fractional):
1 Nd 0.0000 0.1466 0.0000 x4
2 Dy 0.0000 0.3507 0.5000 x4
3 Dy 0.0000 0.5000 0.5000 x2
4 In 0.0000 0.0000 0.0000 x2
5 In 0.0000 0.0747 0.5000 x4
6 In 0.0000 0.2775 0.0000 x4
7 In 0.0000 0.4296 0.0000 x4

***

Computed, not measured: Nd7Dy3In after structural relaxation at the PBE level of DFT.

Output
Uncorrected energy (Ry per atom): -0.3261
D(E_F) (states/eV per atom): 1.428
Energy of formation from the pure elements (kJ per mole of atoms): 9.7

Cell lengths 7.1130, 7.1130, 8.6382 Å; angles 90.00, 90.00, 120.00 degrees
Space group P3m1 (No. 156)
Symmetry-distinct sites (fractional):
1 Nd 0.0000 0.0000 0.0000 x1
2 Nd 0.1644 0.3289 0.6593 x3
3 Nd 0.5023 0.0047 0.9918 x3
4 Dy 0.3333 0.1666 0.3296 x3
5 In 0.6667 0.3333 0.6500 x1

***

Computed, not measured: NdDyIn2 after structural relaxation at the PBE level of DFT.

Output
Uncorrected energy (Ry per atom): -0.3080
D(E_F) (states/eV per atom): 0.447
Energy of formation from the pure elements (kJ per mole of atoms): -46.1

Cell lengths 7.6353, 7.6353, 7.6353 Å; angles 90.00, 90.00, 90.00 degrees
Space group Fm-3m (No. 225)
Symmetry-distinct sites (fractional):
1 Nd 0.0000 0.0000 0.0000 x4
2 Dy 0.0000 0.0000 0.5000 x4
3 In 0.2500 0.2500 0.2500 x8

***

Computed, not measured: Nd12Dy5In2 after structural relaxation at the PBE level of DFT.

Output
Uncorrected energy (Ry per atom): -0.3325
D(E_F) (states/eV per atom): 1.426
Energy of formation from the pure elements (kJ per mole of atoms): -1.3

Cell lengths 15.5841, 9.3767, 8.6594 Å; angles 90.00, 93.42, 90.00 degrees
Space group C2/m (No. 12)
Symmetry-distinct sites (fractional):
1 Nd 0.0573 0.0000 0.3247 x4
2 Nd 0.0814 0.5000 0.8848 x4
3 Nd 0.1247 0.1949 0.6657 x8
4 Nd 0.1481 0.3146 0.2346 x8
5 Dy 0.0000 0.5000 0.5000 x2
6 Dy 0.1888 0.0000 0.0129 x4
7 Dy 0.2316 0.5000 0.5817 x4
8 In 0.0000 0.1741 0.0000 x4

***

Computed, not measured: Nd5Dy2In after structural relaxation at the PBE level of DFT.

Output
Uncorrected energy (Ry per atom): -0.3371
D(E_F) (states/eV per atom): 1.339
Energy of formation from the pure elements (kJ per mole of atoms): -11.0

Cell lengths 5.0095, 5.0095, 20.5769 Å; angles 90.00, 90.00, 90.00 degrees
Space group I4/mmm (No. 139)
Symmetry-distinct sites (fractional):
1 Nd 0.0000 0.0000 0.0000 x2
2 Nd 0.0000 0.5000 0.1230 x8
3 Dy 0.0000 0.0000 0.2485 x4
4 In 0.0000 0.0000 0.5000 x2

***

Computed, not measured: Nd3Dy2In3 after structural relaxation at the PBE level of DFT.

Output
Uncorrected energy (Ry per atom): -0.3183
D(E_F) (states/eV per atom): 0.987
Energy of formation from the pure elements (kJ per mole of atoms): -35.2

Cell lengths 3.8426, 5.4720, 22.7727 Å; angles 90.00, 90.00, 90.00 degrees
Space group Immm (No. 71)
Symmetry-distinct sites (fractional):
1 Nd 0.0000 0.0000 0.0000 x2
2 Nd 0.0000 0.5000 0.1240 x4
3 Dy 0.0000 0.0000 0.2346 x4
4 In 0.0000 0.0000 0.5000 x2
5 In 0.0000 0.5000 0.3780 x4

***

Computed, not measured: Nd7Dy4In after structural relaxation at the PBE level of DFT.

Output
Uncorrected energy (Ry per atom): -0.3241
D(E_F) (states/eV per atom): 1.461
Energy of formation from the pure elements (kJ per mole of atoms): 12.9

Cell lengths 16.4985, 6.0263, 9.3531 Å; angles 90.00, 116.76, 90.00 degrees
Space group C2/m (No. 12)
Symmetry-distinct sites (fractional):
1 Nd 0.0000 0.0000 0.0000 x2
2 Nd 0.0742 0.5000 0.4146 x4
3 Nd 0.2038 0.5000 0.2145 x4
4 Nd 0.2123 0.5000 0.8698 x4
5 Dy 0.0774 0.0000 0.6919 x4
6 Dy 0.1795 0.0000 0.4011 x4
7 In 0.0000 0.5000 0.0000 x2